First-principles (PBE-GGA) data for a geometry-optimized Lu4Ni3W2N3 structure, as listed in the Open Quantum Materials Database.

Lattice parameters (Å, degrees): 9.713 5.670 13.197 90.00 104.49 90.00
Space group C2/c (No. 15)
One atom of each set of equivalent atoms:
Lu  0.121  0.079  0.113 (multiplicity 8)
Lu  0.209  0.089  0.388 (multiplicity 8)
Ni  0.000  0.168  0.750 (multiplicity 4)
Ni  0.123  0.464  0.248 (multiplicity 8)
W  0.059  0.415  0.924 (multiplicity 8)
N  0.083  0.250  0.500 (multiplicity 8)
N  0.250  0.250  0.000 (multiplicity 4)

***

First-principles (PBE-GGA) data for a geometry-optimized Y4Lu2Ni3N3 structure, as listed in the Open Quantum Materials Database.

Lattice parameters (Å, degrees): 10.221 5.888 14.241 90.00 104.06 90.00
Space group C2/c (No. 15)
One atom of each set of equivalent atoms:
Y  0.116  0.083  0.097 (multiplicity 8)
Y  0.217  0.083  0.403 (multiplicity 8)
Lu  0.046  0.418  0.894 (multiplicity 8)
Ni  0.000  0.073  0.250 (multiplicity 4)
Ni  0.240  0.343  0.249 (multiplicity 8)
N  0.077  0.268  0.500 (multiplicity 8)
N  0.250  0.250  0.000 (multiplicity 4)

***

First-principles (PBE-GGA) data for a geometry-optimized Y2Lu4Ni3N3 structure, as listed in the Open Quantum Materials Database.

Lattice parameters (Å, degrees): 10.008 5.774 14.105 90.00 104.13 90.00
Space group C2/c (No. 15)
One atom of each set of equivalent atoms:
Y  0.043  0.084  0.383 (multiplicity 8)
Lu  0.115  0.413  0.595 (multiplicity 8)
Lu  0.219  0.417  0.905 (multiplicity 8)
Ni  0.000  0.424  0.750 (multiplicity 4)
Ni  0.244  0.159  0.750 (multiplicity 8)
N  0.083  0.249  0.000 (multiplicity 8)
N  0.250  0.250  0.500 (multiplicity 4)

***

Calculated total energy in eV per atom, matching the order above: -7.82 -7.18 -6.99